Pr2Y3Cd3 | PBE-GGA | optimized geometry

For the density of states at the Fermi level, the calculation gives 7.899 states/eV/f.u. Its volume is 463.4 Å³ per cell. As for the magnetization: 0.00 μB per formula unit. The calculation puts the theoretical density at 6.35 g/cm³. The energy of formation from the pure elements is -0.25 eV per atom.

The space group is Immm (No. 71) and the conventional cell measures 3.810, 5.361 and 22.684 Å, with angles of 90.00, 90.00 and 90.00 degrees. The asymmetric unit holds Pr at (0.000, 0.000, 0.231), Y at (0.000, 0.000, 0.000), Y at (0.000, 0.500, 0.119), Cd at (0.000, 0.000, 0.500) and Cd at (0.000, 0.500, 0.388).

=====

PrY3Cd6 | PBE-GGA | optimized geometry

For the density of states at the Fermi level, the calculation gives 8.487 states/eV/f.u. Its volume is 519.9 Å³ per cell. As for the magnetization: 0.00 μB per formula unit. The calculation puts the theoretical density at 6.91 g/cm³. The energy of formation from the pure elements is -0.31 eV per atom.

The space group is P2_1/m (No. 11) and the conventional cell measures 9.237, 5.238 and 11.216 Å, with angles of 90.00, 106.64 and 90.00 degrees. The asymmetric unit holds Pr at (0.060, 0.250, 0.388), Y at (0.238, 0.250, 0.000), Y at (0.351, 0.750, 0.799), Y at (0.472, 0.250, 0.608), Cd at (0.055, 0.750, 0.907), Cd at (0.146, 0.750, 0.197), Cd at (0.160, 0.250, 0.699), Cd at (0.252, 0.750, 0.505), Cd at (0.351, 0.250, 0.292) and Cd at (0.453, 0.750, 0.096).

=====

PrY3Cd4 | PBE-GGA | optimized geometry

For the density of states at the Fermi level, the calculation gives 9.071 states/eV/f.u. Its volume is 217.1 Å³ per cell. As for the magnetization: 0.63 μB per formula unit. The calculation puts the theoretical density at 6.56 g/cm³. The energy of formation from the pure elements is -0.34 eV per atom.

The space group is P4/mmm (No. 123) and the conventional cell measures 5.326, 5.326 and 7.656 Å, with angles of 90.00, 90.00 and 90.00 degrees. The asymmetric unit holds Pr at (0.000, 0.000, 0.000), Y at (0.000, 0.000, 0.500), Y at (0.500, 0.500, 0.000), Y at (0.500, 0.500, 0.500) and Cd at (0.000, 0.500, 0.259).

=====

PrY3Cd2 | PBE-GGA | optimized geometry

For the density of states at the Fermi level, the calculation gives 7.394 states/eV/f.u. Its volume is 174.9 Å³ per cell. As for the magnetization: 0.00 μB per formula unit. The calculation puts the theoretical density at 6.01 g/cm³. The energy of formation from the pure elements is -0.23 eV per atom.

The space group is P4/mmm (No. 123) and the conventional cell measures 3.712, 3.712 and 12.694 Å, with angles of 90.00, 90.00 and 90.00 degrees. The asymmetric unit holds Pr at (0.000, 0.000, 0.000), Y at (0.500, 0.500, 0.200), Y at (0.500, 0.500, 0.500) and Cd at (0.000, 0.000, 0.350).

=====

Pr4YCd | PBE-GGA | optimized geometry

For the density of states at the Fermi level, the calculation gives 8.012 states/eV/f.u. Its volume is 807.1 Å³ per cell. As for the magnetization: 0.00 μB per formula unit. The calculation puts the theoretical density at 6.30 g/cm³. The value obtained for the energy above the most stable polymorph in this dataset is 0.092 eV/atom. The energy of formation from the pure elements is 0.00 eV per atom.

The space group is C2/c (No. 15) and the conventional cell measures 9.057, 14.594 and 6.477 Å, with angles of 90.00, 109.48 and 90.00 degrees. The asymmetric unit holds Pr at (0.098, 0.191, 0.046), Pr at (0.214, 0.382, 0.376), Y at (0.000, 0.413, 0.750) and Cd at (0.000, 0.001, 0.750).

=====

Pr4YCd | PBE-GGA | optimized geometry

For the density of states at the Fermi level, the calculation gives 7.492 states/eV/f.u. Its volume is 199.6 Å³ per cell. As for the magnetization: 0.00 μB per formula unit. The calculation puts the theoretical density at 6.36 g/cm³. The value obtained for the energy above the most stable polymorph in this dataset is 0.000 eV/atom. The energy of formation from the pure elements is -0.10 eV per atom.

The space group is P4/mmm (No. 123) and the conventional cell measures 3.726, 3.726 and 14.377 Å, with angles of 90.00, 90.00 and 90.00 degrees. The asymmetric unit holds Pr at (0.000, 0.000, 0.146), Pr at (0.500, 0.500, 0.325), Y at (0.000, 0.000, 0.500) and Cd at (0.500, 0.500, 0.000).